Material: LaTeN2F
Method: DFT, PBE
State: optimized geometry

Cell: 4.085 4.085 7.127 Å, 90.00 90.00 90.00°
Space group P4/mmm (No. 123)
Asymmetric unit:
La (0.000, 0.000, 0.000) (multiplicity 1)
Te (0.000, 0.000, 0.500) (multiplicity 1)
N (0.000, 0.500, 0.000) (multiplicity 2)
F (0.500, 0.500, 0.500) (multiplicity 1)

raw total energy: -23.3 eV for the cell shown
ΔE_f (raw): 3.3 eV/f.u.
magnetic moment: 0.0 μB/f.u.
density: 4.38 g cm⁻³
volume: 118.90 Å³/cell
distance to the lowest polymorph of the same formula: 5.52 eV per formula unit